Material: Ru3PbBr
Method: DFT, GGA-PBE
State: optimized geometry

abc: 5.110 5.110 5.110
angles: 90.00 90.00 90.00
Fractional coordinates of all 5 atoms:
Ru1 0.000 0.000 0.500
Ru2 0.000 0.500 0.000
Ru3 0.500 0.000 0.000
Pb1 0.000 0.000 0.000
Br1 0.500 0.500 0.500

Summary:
Energy relative to the lowest polymorph listed for this composition: 731 meV per atom
Symmetry: Pm-3m, No. 221
Volume: 133 Å³ per cell
Formation energy (no corrections): 2.112 eV/atom

---

Material: AlTcAs3
Method: DFT, GGA-PBE
State: optimized geometry

abc: 4.838 4.838 4.838
angles: 90.00 90.00 90.00
Fractional coordinates of all 5 atoms:
Al1 0.000 0.000 0.000
Tc1 0.500 0.500 0.500
As1 0.000 0.500 0.500
As2 0.500 0.000 0.500
As3 0.500 0.500 0.000

Summary:
Energy of formation: 0.5383 eV per atom
Energy relative to the lowest polymorph listed for this composition: 0 meV per atom
Symmetry: Pm-3m, No. 221
Volume: 113 Å³ per cell

---

Material: Ba2NiGe
Method: DFT, GGA-PBE
State: optimized geometry

abc: 4.322 4.322 9.029
angles: 90.19 90.19 60.05
Fractional coordinates of all 4 atoms:
Ba1 0.000 0.000 0.000
Ba2 0.665 0.665 0.482
Ni1 0.666 0.666 0.791
Ge1 0.332 0.332 0.746

Summary:
Energy of formation: -0.2169 eV per atom
Symmetry: Cm, No. 8
Volume: 146 Å³ per cell

---

Material: AcCe3Sb2
Method: DFT, GGA-PBE
State: optimized geometry

abc: 9.504 9.504 8.353
angles: 111.54 111.54 31.02
Fractional coordinates of all 12 atoms:
Ac1 0.115 0.115 0.178
Ac2 0.885 0.885 0.822
Ce1 0.065 0.065 0.648
Ce2 0.298 0.298 0.110
Ce3 0.382 0.382 0.461
Ce4 0.618 0.618 0.539
Ce5 0.702 0.702 0.890
Ce6 0.935 0.935 0.352
Sb1 0.247 0.247 0.687
Sb2 0.477 0.477 0.169
Sb3 0.523 0.523 0.831
Sb4 0.753 0.753 0.313

Summary:
Symmetry: C2/m, No. 12
Volume: 360 Å³ per cell
Formation energy (no corrections): -0.607 eV/atom

---

Material: Na6Sn2O7
Method: DFT, GGA-PBE
State: optimized geometry

abc: 6.280 6.280 12.321
angles: 101.28 101.28 90.23
Fractional coordinates of all 30 atoms:
Na1 0.000 0.000 0.000
Na2 0.000 0.000 0.500
Na3 0.039 0.494 0.875
Na4 0.042 0.958 0.750
Na5 0.290 0.578 0.407
Na6 0.422 0.710 0.093
Na7 0.494 0.039 0.375
Na8 0.506 0.961 0.625
Na9 0.578 0.290 0.907
Na10 0.710 0.422 0.593
Na11 0.958 0.042 0.250
Na12 0.961 0.506 0.125
Sn1 0.237 0.442 0.632
Sn2 0.442 0.237 0.132
Sn3 0.558 0.763 0.868
Sn4 0.763 0.558 0.368
O1 0.019 0.291 0.689
O2 0.181 0.732 0.596
O3 0.239 0.352 0.015
O4 0.268 0.819 0.904
O5 0.291 0.019 0.189
O6 0.352 0.239 0.515
O7 0.481 0.519 0.250
O8 0.519 0.481 0.750
O9 0.648 0.761 0.485
O10 0.709 0.981 0.811
O11 0.732 0.181 0.096
O12 0.761 0.648 0.985
O13 0.819 0.268 0.404
O14 0.981 0.709 0.311

Summary:
Symmetry: C2/c, No. 15
Volume: 467 Å³ per cell
Formation energy (no corrections): -1.538 eV/atom

---

Material: ThBe2BOs2
Method: DFT, GGA-PBE
State: optimized geometry

abc: 4.118 4.118 5.249
angles: 90.00 90.00 90.00
Fractional coordinates of all 6 atoms:
Th1 0.000 0.000 0.000
Be1 0.500 0.500 0.254
Be2 0.500 0.500 0.746
B1 0.000 0.000 0.500
Os1 0.000 0.500 0.500
Os2 0.500 0.000 0.500

Summary:
Energy of formation: -0.3381 eV per atom
Symmetry: P4/mmm, No. 123
Volume: 89 Å³ per cell